No. 1
## PmNd12Tm7 (PBE)

Data for a relaxed PmNd12Tm7 crystal. Values from VASP.

## Properties
Energy of formation, eV/atom: 0.250
Polymorph energy (0 for the lowest one), meV/atom: 100
Symmetry: R-3 (148)

Geometry as Quantum ESPRESSO input:
```
&SYSTEM
  ibrav = 0, nat = 20, ntyp = 3
/
ATOMIC_SPECIES
Nd 144.24 Nd.upf
Tm 168.93 Tm.upf
Pm 145.00 Pm.upf
CELL_PARAMETERS angstrom
0.7809 -5.4341 -2.8967
10.5783 1.5980 4.2879
-8.2847 -2.8242 7.4985
ATOMIC_POSITIONS angstrom
Nd 4.8278 -0.0318 3.5723
Nd -2.9549 -1.8547 4.9056
Nd 1.5229 -1.1512 7.4346
Nd 7.2917 -2.1310 1.0991
Nd -4.2172 -4.5293 7.7906
Nd 1.5515 -5.5092 1.4551
Nd 5.6663 -3.3840 7.4454
Nd -0.1126 -3.7111 4.7207
Nd 6.0294 -4.8056 3.9841
Nd 3.1871 -2.9492 4.1691
Nd -1.7533 -6.6285 5.3174
Nd -2.5918 -3.2763 1.4443
Tm 0.3905 -2.7171 -1.4483
Tm -5.0149 -7.1793 6.0019
Tm 2.2130 -4.3542 7.0845
Tm -1.3314 -5.4448 -0.6928
Tm 0.8615 -2.3061 1.8052
Tm 4.4059 -1.2155 9.5826
Tm 8.0894 0.5190 2.8878
Pm 0.0000 0.0000 0.0000
```


No. 2
## Sn3WSe (PBE)

Data for a relaxed Sn3WSe crystal. Values from VASP.

## Properties
Polymorph energy (0 for the lowest one), meV/atom: 1067
Formation energy without anion corrections, eV per formula unit: 7.85
Symmetry: Pm-3m (221)

Geometry as Quantum ESPRESSO input:
```
&SYSTEM
  ibrav = 0, nat = 5, ntyp = 3
/
ATOMIC_SPECIES
W 183.84 W.upf
Se 78.96 Se.upf
Sn 118.71 Sn.upf
CELL_PARAMETERS angstrom
5.2306 0.0000 0.0000
0.0000 5.2306 0.0000
0.0000 0.0000 5.2306
ATOMIC_POSITIONS angstrom
W 2.6153 2.6153 2.6153
Se 0.0000 0.0000 0.0000
Sn 2.6153 0.0000 0.0000
Sn 0.0000 0.0000 2.6153
Sn 0.0000 2.6153 0.0000
```


No. 3
## Sm2Th5Sc4 (PBE)

Data for a relaxed Sm2Th5Sc4 crystal. Values from VASP.

## Properties
Energy of formation, eV/atom: 0.170
Symmetry: P2/m (10)

Geometry as Quantum ESPRESSO input:
```
&SYSTEM
  ibrav = 0, nat = 11, ntyp = 3
/
ATOMIC_SPECIES
Sc 44.96 Sc.upf
Sm 150.36 Sm.upf
Th 232.04 Th.upf
CELL_PARAMETERS angstrom
-0.0794 -3.0067 1.4919
-0.3540 -5.1211 -10.3399
8.9256 4.8890 10.3285
ATOMIC_POSITIONS angstrom
Sc 3.9480 -0.9229 2.1282
Sc 0.2902 -5.4733 -7.2375
Sc 4.5442 -2.3160 -0.6477
Sc 8.2020 2.2345 8.7180
Sm 5.7044 2.9949 6.3397
Sm 2.7878 -6.2338 -4.8592
Th -0.1770 -2.5606 -5.1699
Th 6.8457 -3.0350 1.8037
Th 1.6465 -0.2039 -0.3232
Th 2.1461 -4.6352 -1.6715
Th 6.3461 1.3963 3.1521
```